Sm5U2O12 (PBE, optimized geometry); formation energy (no corrections) = -3.312 eV per atom; SG = C2/m (12)
1.0
6.2237 0.0000 0.0000
-3.1118 6.0998 -1.9731
0.0000 -0.0014 7.8771
O U Sm
12 2 5
Cartesian
1.4518 4.0092 5.8457
0.0000 0.0627 6.1948
0.0000 6.0678 -0.5290
1.6601 2.0892 0.0583
-1.4518 4.0092 5.8457
-1.5321 4.2012 2.0130
4.6439 1.8972 3.8910
4.5636 2.0892 0.0583
1.5798 1.8972 3.8910
1.5321 4.2012 2.0130
3.1118 0.0305 6.4330
3.1118 6.0357 -0.2908
4.8135 0.0000 0.0000
1.4102 0.0000 0.0000
3.1118 2.3359 5.6796
0.0000 3.7624 0.2244
3.1118 2.4607 2.0830
0.0000 3.6377 3.8210
0.0000 -0.0007 3.9386


Sm2UO6 (PBE, optimized geometry); formation energy (no corrections) = -3.357 eV per atom; offset from the most stable computed form = 0.43 eV per formula unit; SG = P4_2/mnm (136)
1.0
5.1831 0.0000 0.0000
0.0000 5.1831 0.0000
0.0000 0.0000 10.6874
O Sm U
12 4 2
Cartesian
4.2370 0.9461 9.0613
0.9461 4.2370 1.6261
1.4868 1.4868 0.0000
3.6963 3.6963 0.0000
1.1048 4.0783 5.3437
3.5376 3.5376 6.9697
0.9461 4.2370 9.0613
4.2370 0.9461 1.6261
3.5376 3.5376 3.7176
4.0783 1.1048 5.3437
1.6454 1.6454 3.7176
1.6454 1.6454 6.9697
2.5915 2.5915 8.9094
0.0000 0.0000 7.1216
2.5915 2.5915 1.7779
0.0000 0.0000 3.5657
2.5915 2.5915 5.3437
0.0000 0.0000 0.0000


Sm2U2O7 (PBE, optimized geometry); formation energy (no corrections) = -3.309 eV per atom; SG = Fd-3m (227)
1.0
6.7064 0.0000 3.8719
2.2355 6.3228 3.8719
0.0000 0.0000 7.7438
O Sm U
14 4 4
Cartesian
5.6917 1.4350 9.8582
6.7064 4.7421 11.6158
2.0294 1.4350 7.7438
3.2502 0.1457 2.1144
4.4709 3.1614 7.7438
1.2208 3.0157 2.1144
3.2502 4.8878 5.6294
1.2208 3.0157 5.6294
5.6917 1.4350 5.6294
3.2502 4.8878 9.8582
6.9124 4.8878 7.7438
3.2502 0.1457 5.6294
4.2649 3.0157 3.8719
0.2060 0.1457 3.8719
2.2355 3.9518 7.7438
4.4709 0.7904 7.7438
5.5886 3.9518 5.8079
5.5886 3.9518 9.6798
1.1177 0.7904 1.9360
1.1177 0.7904 5.8079
4.4709 0.7904 3.8719
2.2355 3.9518 3.8719


Sm4U4O17 (PBE, optimized geometry); formation energy (no corrections) = -3.223 eV per atom; SG = Cmmm (65)
1.0
4.1976 2.6692 -7.9347
-9.2102 -0.5672 -1.5985
-0.4035 3.6724 1.0219
O Sm U
17 4 4
Cartesian
-0.6772 0.2840 -1.2879
-6.1134 3.2839 -7.0260
-3.6867 2.2179 -2.2369
-4.9976 2.7676 -4.7300
-4.3354 1.8180 -8.2453
-5.0850 0.0420 -2.1591
1.2424 1.5694 -5.1492
-3.2149 1.3482 -6.1143
-6.2549 0.5326 -4.3840
-2.9917 4.0375 -8.5012
-1.7977 0.7538 -3.4189
0.0725 2.0600 -7.3742
-2.4244 1.7370 -0.0101
-1.7294 3.5565 -6.2745
-2.7080 2.8872 -4.2557
0.6973 2.4905 -1.4853
-0.4185 3.0068 -3.7813
-4.8069 1.5526 -0.2883
1.8970 3.1708 -3.4564
-7.5151 -0.1581 -2.3996
2.5026 2.2600 -7.1337
-4.1096 0.6640 -4.0089
-1.4518 2.3604 -1.8664
-0.9030 1.4380 -5.5243
-3.9643 3.4140 -6.6449


The E_tot results, record by record, are as follows: -168.6; -161.4; -206.2; -228.9 eV per cell.
The total moment results, record by record, are as follows: 1.033; 0.000; 8.000; 2.080 μB per cell.